First-principles (PBE) data for a relaxed structure of Ac3Co5Se12, as listed in the Alexandria database.

Values from the calculation:
ΔE_f (raw) = -750 meV per atom
crystal system = cubic
density of states at the Fermi level = 129.1 states/eV/cell
calculated volume = 24.26 A^3/atom

Cell lengths 15.7153, 15.7153, 15.7153 Å; angles 90.00, 90.00, 90.00 degrees
Space group Ia-3d (No. 230)
One atom of each set of equivalent atoms:
Ac  0.0000  0.2500  0.1250 x24
Co  0.0000  0.0000  0.0000 x16
Co  0.0000  0.2500  0.3750 x24
Se  0.0368  0.0514  0.6428 x96

First-principles (PBE) data for a relaxed structure of CrTc2W, as listed in the Alexandria database.

Values from the calculation:
crystal system = tetragonal
density of states at the Fermi level = 4.1 states/eV/cell
calculated volume = 14.44 A^3/atom
formation energy from the elements = 0.211 eV per atom

Cell lengths 3.8919, 3.8919, 3.8140 Å; angles 90.00, 90.00, 90.00 degrees
Space group P4/mmm (No. 123)
One atom of each set of equivalent atoms:
Cr  0.0000  0.0000  0.0000 x1
Tc  0.0000  0.5000  0.5000 x2
W  0.5000  0.5000  0.0000 x1

First-principles (PBE) data for a relaxed structure of AlTlHg2, as listed in the Alexandria database.

Values from the calculation:
crystal system = monoclinic
density of states at the Fermi level = 3.5 states/eV/cell
calculated volume = 25.63 A^3/atom
formation energy from the elements = 0.118 eV per atom

Cell lengths 8.7881, 3.7366, 6.4747 Å; angles 90.00, 105.37, 90.00 degrees
Space group C2/m (No. 12)
One atom of each set of equivalent atoms:
Al  0.0000  0.0000  0.0000 x2
Tl  0.0000  0.5000  0.5000 x2
Hg  0.2356  0.5000  0.2042 x4

First-principles (PBE) data for a relaxed structure of Na2ErAlF8, as listed in the Alexandria database.

Values from the calculation:
ΔE_f (raw) = -3468 meV per atom
crystal system = monoclinic
density of states at the Fermi level = 0.0 states/eV/cell
calculated volume = 13.88 A^3/atom

Cell lengths 5.0400, 6.5090, 5.0798 Å; angles 90.00, 91.50, 90.00 degrees
Space group P2/m (No. 10)
One atom of each set of equivalent atoms:
Na  0.0000  0.2315  0.0000 x2
Er  0.5000  0.5000  0.5000 x1
Al  0.5000  0.0000  0.5000 x1
F  0.1997  0.5000  0.2049 x2
F  0.2469  0.0000  0.2488 x2
F  0.3266  0.2163  0.6732 x4

First-principles (PBE) data for a relaxed structure of BeCr2Ag, as listed in the Alexandria database.

Values from the calculation:
crystal system = monoclinic
density of states at the Fermi level = 5.0 states/eV/cell
calculated volume = 12.67 A^3/atom
formation energy from the elements = 0.463 eV per atom

Cell lengths 8.1736, 2.5191, 4.9362 Å; angles 90.00, 94.41, 90.00 degrees
Space group Cm (No. 8)
One atom of each set of equivalent atoms:
Be  0.0000  0.0000  0.0000 x2
Cr  0.2595  0.0000  0.7663 x2
Cr  0.4951  0.0000  0.5712 x2
Ag  0.2458  0.5000  0.2499 x2

First-principles (PBE) data for a relaxed structure of Cs2Pu2O5, as listed in the Alexandria database.

Values from the calculation:
ΔE_f (raw) = -2415 meV per atom
crystal system = tetragonal
density of states at the Fermi level = 11.6 states/eV/cell
calculated volume = 20.30 A^3/atom

Cell lengths 4.3387, 4.3387, 9.7051 Å; angles 90.00, 90.00, 90.00 degrees
Space group P4/mmm (No. 123)
One atom of each set of equivalent atoms:
Cs  0.0000  0.0000  0.0000 x1
Cs  0.0000  0.0000  0.5000 x1
Pu  0.5000  0.5000  0.2240 x2
O  0.0000  0.5000  0.2563 x4
O  0.5000  0.5000  0.0000 x1

First-principles (PBE) data for a relaxed structure of Y2PaSbO8, as listed in the Alexandria database.

Values from the calculation:
ΔE_f (raw) = -2944 meV per atom
crystal system = orthorhombic
density of states at the Fermi level = 0.0 states/eV/cell
calculated volume = 14.59 A^3/atom

Cell lengths 7.0061, 7.2489, 6.8928 Å; angles 90.00, 90.00, 90.00 degrees
Space group Cmmm (No. 65)
One atom of each set of equivalent atoms:
Y  0.0000  0.0000  0.2404 x4
Pa  0.0000  0.5000  0.5000 x2
Sb  0.0000  0.5000  0.0000 x2
O  0.0000  0.3184  0.2308 x8
O  0.2009  0.0000  0.5000 x4
O  0.2173  0.0000  0.0000 x4

First-principles (PBE) data for a relaxed structure of P2RuW, as listed in the Alexandria database.

Values from the calculation:
crystal system = trigonal
density of states at the Fermi level = 5.7 states/eV/cell
calculated volume = 14.36 A^3/atom
formation energy from the elements = -0.075 eV per atom

Cell lengths 2.9899, 2.9899, 22.2541 Å; angles 90.00, 90.00, 120.00 degrees
Space group R3m (No. 160, hexagonal axes)
One atom of each set of equivalent atoms:
P  0.0000  0.0000  0.0000 x3
P  0.0000  0.0000  0.2499 x3
Ru  0.0000  0.0000  0.5119 x3
W  0.0000  0.0000  0.7431 x3

First-principles (PBE) data for a relaxed structure of Ba2ReHg2O6, as listed in the Alexandria database.

Values from the calculation:
ΔE_f (raw) = -1602 meV per atom
crystal system = monoclinic
density of states at the Fermi level = 4.1 states/eV/cell
calculated volume = 21.35 A^3/atom

Cell lengths 6.4491, 11.1935, 6.6384 Å; angles 90.00, 101.44, 90.00 degrees
Space group C2/m (No. 12)
One atom of each set of equivalent atoms:
Ba  0.0000  0.1657  0.0000 x4
Re  0.0000  0.5000  0.0000 x2
Hg  0.0000  0.3551  0.5000 x4
O  0.1588  0.3770  0.1624 x8
O  0.2089  0.5000  0.8269 x4

First-principles (PBE) data for a relaxed structure of Ca2Al3Ge4, as listed in the Alexandria database.

Values from the calculation:
crystal system = orthorhombic
density of states at the Fermi level = 12.4 states/eV/cell
calculated volume = 20.15 A^3/atom
formation energy from the elements = -0.353 eV per atom

Cell lengths 5.9579, 15.3531, 7.9312 Å; angles 90.00, 90.00, 90.00 degrees
Space group Cmce (No. 64)
One atom of each set of equivalent atoms:
Ca  0.0000  0.1130  0.0838 x8
Al  0.0000  0.0000  0.5000 x4
Al  0.2500  0.2178  0.7500 x8
Ge  0.0000  0.1852  0.4522 x8
Ge  0.2500  0.0514  0.7500 x8

First-principles (PBE) data for a relaxed structure of YV2Te, as listed in the Alexandria database.

Values from the calculation:
ΔE_f (raw) = 523 meV per atom
crystal system = tetragonal
density of states at the Fermi level = 29.5 states/eV/cell
calculated volume = 23.29 A^3/atom

Cell lengths 7.9750, 7.9750, 5.8581 Å; angles 90.00, 90.00, 90.00 degrees
Space group I-42d (No. 122)
One atom of each set of equivalent atoms:
Y  0.0000  0.0000  0.0000 x4
V  0.1944  0.7500  0.6250 x8
Te  0.0000  0.0000  0.5000 x4

First-principles (PBE) data for a relaxed structure of SrSn2PbSe4, as listed in the Alexandria database.

Values from the calculation:
ΔE_f (raw) = -855 meV per atom
crystal system = monoclinic
density of states at the Fermi level = 0.0 states/eV/cell
calculated volume = 29.40 A^3/atom

Cell lengths 7.5533, 4.3595, 7.5738 Å; angles 90.00, 109.41, 90.00 degrees
Space group P2/m (No. 10)
One atom of each set of equivalent atoms:
Sr  0.0000  0.0000  0.0000 x1
Sn  0.0000  0.5000  0.5000 x1
Sn  0.5000  0.0000  0.5000 x1
Pb  0.5000  0.5000  0.0000 x1
Se  0.2465  0.0000  0.7423 x2
Se  0.2509  0.5000  0.2569 x2

First-principles (PBE) data for a relaxed structure of Ca2P2Rh, as listed in the Alexandria database.

Values from the calculation:
crystal system = tetragonal
density of states at the Fermi level = 7.6 states/eV/cell
calculated volume = 18.53 A^3/atom
formation energy from the elements = -0.901 eV per atom

Cell lengths 6.4940, 6.4940, 4.3948 Å; angles 90.00, 90.00, 90.00 degrees
Space group P4/mbm (No. 127)
One atom of each set of equivalent atoms:
Ca  0.1747  0.3253  0.0000 x4
P  0.1317  0.6317  0.5000 x4
Rh  0.0000  0.0000  0.5000 x2

First-principles (PBE) data for a relaxed structure of PmAg2TeO6, as listed in the Alexandria database.

Values from the calculation:
ΔE_f (raw) = -1262 meV per atom
crystal system = monoclinic
density of states at the Fermi level = 13.5 states/eV/cell
calculated volume = 13.80 A^3/atom

Cell lengths 5.6521, 5.9193, 9.9398 Å; angles 90.00, 123.89, 90.00 degrees
Space group P2_1/c (No. 14)
One atom of each set of equivalent atoms:
Pm  0.0000  0.0000  0.0000 x2
Ag  0.2477  0.0576  0.7338 x4
Te  0.5000  0.0000  0.5000 x2
O  0.1566  0.0629  0.2791 x4
O  0.2833  0.6898  0.0524 x4
O  0.4006  0.2385  0.0796 x4

First-principles (PBE) data for a relaxed structure of KCoN, as listed in the Alexandria database.

Values from the calculation:
ΔE_f (raw) = 27 meV per atom
crystal system = tetragonal
density of states at the Fermi level = 3.4 states/eV/cell
calculated volume = 18.93 A^3/atom

Cell lengths 3.4045, 3.4045, 9.8016 Å; angles 90.00, 90.00, 90.00 degrees
Space group P4/nmm (No. 129, origin choice 2)
One atom of each set of equivalent atoms:
K  0.2500  0.2500  0.2190 x2
Co  0.2500  0.7500  0.5000 x2
N  0.2500  0.2500  0.5960 x2

First-principles (PBE) data for a relaxed structure of PmSc3In2, as listed in the Alexandria database.

Values from the calculation:
crystal system = monoclinic
density of states at the Fermi level = 25.6 states/eV/cell
calculated volume = 26.18 A^3/atom
formation energy from the elements = -0.250 eV per atom

Cell lengths 17.5168, 4.8098, 8.0228 Å; angles 90.00, 111.64, 90.00 degrees
Space group C2/m (No. 12)
One atom of each set of equivalent atoms:
Pm  0.1173  0.0000  0.1761 x4
Sc  0.0766  0.0000  0.7141 x4
Sc  0.1288  0.5000  0.5040 x4
Sc  0.1955  0.5000  0.9404 x4
In  0.0176  0.5000  0.8339 x4
In  0.2360  0.0000  0.6585 x4

First-principles (PBE) data for a relaxed structure of Pm7Ho12Tl, as listed in the Alexandria database.

Values from the calculation:
crystal system = trigonal
density of states at the Fermi level = 105.9 states/eV/cell
calculated volume = 33.36 A^3/atom
formation energy from the elements = 0.178 eV per atom

Cell lengths 12.2820, 12.2820, 15.3190 Å; angles 90.00, 90.00, 120.00 degrees
Space group R-3 (No. 148, hexagonal axes)
One atom of each set of equivalent atoms:
Pm  0.0000  0.0000  0.0000 x3
Pm  0.0139  0.5794  0.7013 x18
Ho  0.0320  0.8459  0.8088 x18
Ho  0.0711  0.2587  0.4240 x18
Tl  0.0000  0.0000  0.5000 x3

First-principles (PBE) data for a relaxed structure of La2Al3Ga4Cu, as listed in the Alexandria database.

Values from the calculation:
crystal system = tetragonal
density of states at the Fermi level = 3.5 states/eV/cell
calculated volume = 20.21 A^3/atom
formation energy from the elements = -0.478 eV per atom

Cell lengths 4.3585, 4.3585, 10.6369 Å; angles 90.00, 90.00, 90.00 degrees
Space group P-4m2 (No. 115)
One atom of each set of equivalent atoms:
La  0.0000  0.5000  0.2479 x2
Al  0.0000  0.0000  0.0000 x1
Al  0.0000  0.5000  0.6351 x2
Ga  0.0000  0.0000  0.5000 x1
Ga  0.0000  0.5000  0.8712 x2
Ga  0.5000  0.5000  0.5000 x1
Cu  0.5000  0.5000  0.0000 x1

First-principles (PBE) data for a relaxed structure of Sr2DyH12Rh3, as listed in the Alexandria database.

Values from the calculation:
energy = -4.344 eV per atom
crystal system = trigonal
density of states at the Fermi level = 8.2 states/eV/cell
calculated volume = 10.45 A^3/atom

Cell lengths 6.7883, 6.7883, 14.1442 Å; angles 90.00, 90.00, 120.00 degrees
Space group R-3m (No. 166, hexagonal axes)
One atom of each set of equivalent atoms:
Sr  0.0000  0.0000  0.1180 x6
Dy  0.0000  0.0000  0.5000 x3
H  0.0221  0.5111  0.8818 x18
H  0.0767  0.5383  0.3227 x18
Rh  0.0000  0.5000  0.0000 x9